1.
Density functional theory data (PBE-GGA) for AlPbBr2 after structural relaxation.

It has space group F-43m (No. 216), with a = 7.6239 Å, b = 7.6239 Å, c = 7.6239 Å, α = 90.00°, β = 90.00° and γ = 90.00°. The asymmetric unit holds Al at (0.0000, 0.0000, 0.0000), Pb at (0.2500, 0.2500, 0.7500), Br at (0.0000, 0.0000, 0.5000) and Br at (0.2500, 0.2500, 0.2500).


2.
Density functional theory data (PBE-GGA) for AlPbBr2 after structural relaxation.

It has space group P2/m (No. 10), with a = 3.7060 Å, b = 4.6697 Å, c = 6.7945 Å, α = 90.00°, β = 94.02° and γ = 90.00°. The asymmetric unit holds Al at (0.0000, 0.0000, 0.0000), Pb at (0.5000, 0.0000, 0.5000) and Br at (0.2487, 0.5000, 0.7572).


3.
Density functional theory data (PBE-GGA) for AlPb2Br after structural relaxation.

It has space group I-42d (No. 122), with a = 6.4966 Å, b = 6.4966 Å, c = 15.0649 Å, α = 90.00°, β = 90.00° and γ = 90.00°. The asymmetric unit holds Al at (0.0000, 0.0000, 0.0000), Pb at (0.2123, 0.2500, 0.1250) and Br at (0.0000, 0.0000, 0.5000).


4.
Density functional theory data (PBE-GGA) for AlPb2Br after structural relaxation.

It has space group R3m (No. 160, hexagonal axes), with a = 3.5802 Å, b = 3.5802 Å, c = 31.4522 Å, α = 90.00°, β = 90.00° and γ = 120.00°. The asymmetric unit holds Al at (0.0000, 0.0000, 0.0000), Pb at (0.0000, 0.0000, 0.2627), Pb at (0.0000, 0.0000, 0.5019) and Br at (0.0000, 0.0000, 0.7235).


5.
Density functional theory data (PBE-GGA) for AlPbBr2 after structural relaxation.

It has space group I-4m2 (No. 119), with a = 4.3997 Å, b = 4.3997 Å, c = 12.2379 Å, α = 90.00°, β = 90.00° and γ = 90.00°. The asymmetric unit holds Al at (0.0000, 0.0000, 0.0000), Pb at (0.0000, 0.5000, 0.2500), Br at (0.0000, 0.0000, 0.5000) and Br at (0.0000, 0.5000, 0.7500).


6.
Density functional theory data (PBE-GGA) for AlPbBr2 after structural relaxation.

It has space group Pm (No. 6), with a = 3.6477 Å, b = 5.5647 Å, c = 6.3641 Å, α = 90.00°, β = 106.33° and γ = 90.00°. The asymmetric unit holds Al at (0.0000, 0.0000, 0.0000), Pb at (0.8205, 0.5000, 0.6423), Br at (0.0587, 0.5000, 0.1193) and Br at (0.6542, 0.0000, 0.3148).


In order of appearance, energy relative to the elements, uncorrected = 0.028 -0.243 0.200 -0.065 -0.166 -0.292 eV per atom.
In order of appearance, E = -2.672 -2.942 -3.008 -3.273 -2.865 -2.992 eV/atom.
In order of appearance, energy relative to the lowest polymorph listed for this composition = 417 146 273 9 224 97 meV per atom.